# 1
DFT (SCAN) results for a PBEsol-optimized structure of SmCdCu.

Calculated values
crystal system	hexagonal
energy of formation	-0.342	eV per atom

a = 3.914 Å, b = 7.426 Å, c = 7.426 Å
α = 120.00°, β = 90.00°, γ = 90.00°
Atoms (fractional coordinates):
Sm (0.500, 0.587, 0.000)
Sm (0.500, 0.413, 0.413)
Sm (0.500, 0.000, 0.587)
Cd (0.000, 0.248, 0.000)
Cd (0.000, 0.752, 0.752)
Cd (0.000, 0.000, 0.248)
Cu (0.000, 0.333, 0.667)
Cu (0.000, 0.667, 0.333)
Cu (0.500, 0.000, 0.000)

# 2
DFT (SCAN) results for a PBEsol-optimized structure of SrCdCu2.

Calculated values
crystal system	trigonal
energy of formation	-0.094	eV per atom

a = 4.313 Å, b = 4.313 Å, c = 6.004 Å
α = 68.95°, β = 68.95°, γ = 60.00°
Atoms (fractional coordinates):
Sr (0.512, 0.512, 0.464)
Cu (0.981, 0.981, 0.057)
Cu (0.311, 0.311, 0.068)
Cd (0.706, 0.706, 0.881)

# 3
DFT (SCAN) results for a PBEsol-optimized structure of SrCdCu2.

Calculated values
crystal system	tetragonal
energy of formation	0.229	eV per atom

a = 4.398 Å, b = 4.398 Å, c = 5.190 Å
α = 115.07°, β = 115.07°, γ = 90.00°
Atoms (fractional coordinates):
Cd (0.250, 0.750, 0.500)
Cu (0.000, 0.000, 0.000)
Cu (0.750, 0.250, 0.500)
Sr (0.500, 0.500, 0.000)

Calculated volume, 20.77; 22.00; 20.09 Å³ per atom (same order as the records).